Density functional theory data (PBE with a Hubbard U) for crystalline ErVO3 at its relaxed geometry.

As for the total energy: -41.26 eV per formula unit. For the theoretical density, the calculation gives 7.7 Mg/m³. The volume is 11.52 A^3/atom.

Lattice parameters (Å, degrees): 5.2920 5.7178 7.6160 90.00 90.00 90.00
Closest atoms and distances in Å follow each position.
Positions (direct):
Er  0.4788  0.4284  0.7500  4 O 2.22-2.29
Er  0.9788  0.0716  0.2500  4 O 2.22-2.29
Er  0.0212  0.9284  0.7500  4 O 2.22-2.29
Er  0.5212  0.5716  0.2500  4 O 2.22-2.29
V  0.0000  0.5000  0.5000  6 O 2.00-2.11
V  0.5000  0.0000  0.5000  6 O 2.00-2.11
V  0.5000  0.0000  0.0000  6 O 2.00-2.11
V  0.0000  0.5000  0.0000  6 O 2.00-2.11
O  0.6924  0.3127  0.4384  2 V 2.00-2.11
O  0.1924  0.1873  0.5616  2 V 2.00-2.11
O  0.8076  0.8127  0.0616  2 V 2.00-2.11
O  0.3076  0.6873  0.9384  2 V 2.00-2.11
O  0.3076  0.6873  0.5616  2 V 2.00-2.11
O  0.8076  0.8127  0.4384  2 V 2.00-2.11
O  0.1924  0.1873  0.9384  2 V 2.00-2.11
O  0.6924  0.3127  0.0616  2 V 2.00-2.11
O  0.1240  0.4495  0.2500  2 V 2.03, 1 Er 2.22
O  0.6240  0.0505  0.7500  2 V 2.03, 1 Er 2.22
O  0.3760  0.9495  0.2500  2 V 2.03, 1 Er 2.22
O  0.8760  0.5505  0.7500  2 V 2.03, 1 Er 2.22